# 1
CeBe2Rh2: optimized geometry, GGA-PBE.

The calculation puts the final energy at -62.1 eV for the cell shown. The symmetry is P4/nmm.

abc: 4.0603 4.0603 9.1722
angles: 90.00 90.00 90.00
Each line ends with the local moment (μB).
Positions (direct):
Ce (0.7500, 0.7500, 0.7585)  0.28
Ce (0.2500, 0.2500, 0.2416)  0.28
Be (0.2500, 0.2500, 0.8811)  0.00
Be (0.7500, 0.2500, 0.5000)  0.00
Be (0.7500, 0.7500, 0.1189)  0.00
Be (0.2500, 0.7500, 0.5000)  0.00
Rh (0.7500, 0.2500, 0.0000)  -0.02
Rh (0.7500, 0.7500, 0.3789)  -0.01
Rh (0.2500, 0.7500, 0.0000)  -0.02
Rh (0.2500, 0.2500, 0.6211)  -0.01

***

# 2
Rb2P4S5: optimized geometry, GGA-PBE.

The calculation puts the final energy at -48.1 eV for the cell shown. The symmetry is P-1.

abc: 7.6131 9.0814 7.3137
angles: 117.18 55.81 94.99
Positions (direct):
Rb (0.3696, 0.7388, 0.5275)
Rb (0.6304, 0.2612, 0.4725)
P (0.3619, 0.0161, 0.1777)
P (0.6381, 0.9839, 0.8223)
P (0.7774, 0.7597, 0.8494)
P (0.2226, 0.2403, 0.1506)
S (0.1778, 0.1694, 0.8806)
S (0.8222, 0.8306, 0.1194)
S (0.0000, 0.5000, 0.5000)
S (0.5698, 0.2624, 0.0066)
S (0.4302, 0.7376, 0.9934)

***

# 3
LiTaAlPd2: optimized geometry, GGA-PBE.

The calculation puts the final energy at -24.4 eV for the cell shown. The symmetry is P4/mmm.

abc: 4.8626 5.1374 4.8626
angles: 90.00 90.00 90.00
Positions (direct):
Li (0.5000, 0.5000, 0.5000)
Al (0.0000, 0.5000, 0.0000)
Pd (0.0000, 0.0000, 0.5000)
Pd (0.5000, 0.0000, 0.0000)
Ta (0.0000, 0.0000, 0.0000)

***

# 4
MgICl: optimized geometry, GGA-PBE.

The symmetry is P-1. The energy above the most stable polymorph in this dataset is 0 meV/atom.

abc: 3.9865 6.7552 8.7098
angles: 59.62 77.19 89.99
Positions (direct):
Mg (0.7505, 0.7647, 0.4994)
Mg (0.2495, 0.2353, 0.5006)
I (0.1331, 0.4228, 0.7416)
I (0.8669, 0.5772, 0.2584)
Cl (0.6643, 0.9697, 0.6768)
Cl (0.3357, 0.0303, 0.3232)

***

# 5
TbRhAu2: optimized geometry, GGA-PBE.

The calculation puts the final energy at -20.5 eV for the cell shown. The symmetry is Fm-3m.

abc: 4.7961 4.7961 4.7961
angles: 60.00 60.00 60.00
Positions (direct):
Tb (0.0000, 0.0000, 0.0000)
Au (0.2500, 0.2500, 0.2500)
Au (0.7500, 0.7500, 0.7500)
Rh (0.5000, 0.5000, 0.5000)

***

# 6
PrAlGa2Ru2: optimized geometry, GGA-PBE.

The calculation puts the final energy at -34.7 eV for the cell shown. The symmetry is P4/mmm.

abc: 4.5060 4.5060 5.7574
angles: 90.00 90.00 90.00
Positions (direct):
Pr (0.0000, 0.0000, 0.5000)
Al (0.0000, 0.0000, 0.0000)
Ga (0.5000, 0.5000, 0.7447)
Ga (0.5000, 0.5000, 0.2553)
Ru (0.5000, 0.0000, 0.0000)
Ru (0.0000, 0.5000, 0.0000)

***

# 7
K2DyBe2Se4: optimized geometry, GGA-PBE.

The calculation puts the final energy at -38.1 eV for the cell shown. The symmetry is C2/m.

abc: 3.8342 7.9023 9.0306
angles: 116.49 102.26 90.00
Positions (direct):
K (0.1336, 0.5873, 0.2671)
K (0.8664, 0.4127, 0.7329)
Dy (0.0000, 0.0000, 0.0000)
Be (0.6381, 0.0460, 0.2763)
Be (0.3619, 0.9540, 0.7237)
Se (0.1872, 0.1976, 0.3744)
Se (0.8128, 0.8024, 0.6256)
Se (0.5307, 0.7656, 0.0614)
Se (0.4693, 0.2344, 0.9386)

***

# 8
TaMo: optimized geometry, GGA-PBE.

The calculation puts the final energy at -69.1 eV for the cell shown. The symmetry is P4mm.

abc: 3.2226 3.2226 9.7519
angles: 90.00 90.00 90.00
Positions (direct):
Mo (0.0000, 0.0000, 0.0066)
Mo (0.5000, 0.5000, 0.1625)
Mo (0.5000, 0.5000, 0.4976)
Ta (0.0000, 0.0000, 0.3335)
Ta (0.0000, 0.0000, 0.6602)
Ta (0.5000, 0.5000, 0.8396)

***

# 9
AlSb2Mo: optimized geometry, GGA-PBE.

The calculation puts the final energy at -20.7 eV for the cell shown. The symmetry is Pmmm.

abc: 3.6127 5.0241 4.5066
angles: 90.00 90.00 90.00
Positions (direct):
Sb (0.0000, 0.0000, 0.0000)
Sb (0.5000, 0.5000, 0.0000)
Mo (0.0000, 0.5000, 0.5000)
Al (0.5000, 0.0000, 0.5000)

***

# 10
UCo3Ge: optimized geometry, GGA-PBE.

The calculation puts the final energy at -76.5 eV for the cell shown. The symmetry is Imma.

abc: 5.1040 7.9066 5.8797
angles: 132.25 115.72 90.00
Each line ends with the local moment (μB).
Positions (direct):
U (0.2500, 0.2615, 0.5000)  -1.17
U (0.7500, 0.7385, 0.5000)  -1.17
Co (0.8105, 0.3105, 0.1210)  0.36
Co (0.3105, 0.3105, 0.1210)  0.36
Co (0.6895, 0.6895, 0.8790)  0.36
Co (0.1895, 0.6895, 0.8790)  0.36
Co (0.2500, 0.9720, 0.5000)  0.54
Co (0.7500, 0.0280, 0.5000)  0.54
Ge (0.0000, 0.5000, 0.0000)  -0.01
Ge (0.5000, 0.0000, 0.0000)  -0.01

***

# 11
Sr2Sn3GeAu4: optimized geometry, GGA-PBE.

The calculation puts the final energy at -38.4 eV for the cell shown. The symmetry is P-4m2.

abc: 4.7695 4.7695 11.0999
angles: 90.00 90.00 90.00
Positions (direct):
Sr (0.5000, 0.0000, 0.2442)
Sr (0.0000, 0.5000, 0.7558)
Sn (0.0000, 0.0000, 0.5000)
Sn (0.5000, 0.0000, 0.8696)
Sn (0.0000, 0.5000, 0.1304)
Ge (0.5000, 0.5000, 0.5000)
Au (0.5000, 0.5000, 0.0000)
Au (0.0000, 0.0000, 0.0000)
Au (0.5000, 0.0000, 0.6258)
Au (0.0000, 0.5000, 0.3742)

***

# 12
MgSbRh2: optimized geometry, GGA-PBE.

The calculation puts the final energy at -22.6 eV for the cell shown. The symmetry is Fm-3m.

abc: 4.5000 4.5000 4.5000
angles: 60.00 60.00 60.00
Positions (direct):
Sb (0.5000, 0.5000, 0.5000)
Mg (0.0000, 0.0000, 0.0000)
Rh (0.2500, 0.2500, 0.2500)
Rh (0.7500, 0.7500, 0.7500)

***

# 13
AcCu4Ni: optimized geometry, GGA-PBE.

The symmetry is Pmma. The energy above the most stable polymorph in this dataset is 0 meV/atom.

abc: 3.9304 7.1644 7.2459
angles: 90.00 90.00 90.00
Positions (direct):
Ac (0.0000, 0.6009, 0.7500)
Ac (0.0000, 0.3991, 0.2500)
Cu (0.0000, 0.0000, 0.5000)
Cu (0.0000, 0.0000, 0.0000)
Cu (0.5000, 0.9556, 0.7500)
Cu (0.5000, 0.0444, 0.2500)
Cu (0.5000, 0.7599, 0.0546)
Cu (0.5000, 0.2401, 0.9454)
Cu (0.5000, 0.7599, 0.4454)
Cu (0.5000, 0.2401, 0.5546)
Ni (0.0000, 0.2143, 0.7500)
Ni (0.0000, 0.7857, 0.2500)

***

# 14
SbPt2Cl: optimized geometry, GGA-PBE.

The symmetry is P4/mmm. The energy above the most stable polymorph in this dataset is 302 meV/atom.

abc: 3.4928 3.4934 6.4304
angles: 90.00 90.00 90.00
Positions (direct):
Cl (0.5000, 0.5000, 0.7500)
Pt (0.0000, 0.0000, 0.0353)
Pt (0.0000, 0.0000, 0.4647)
Sb (0.5000, 0.5000, 0.2500)

***

# 15
NbSn2AsW: optimized geometry, GGA-PBE.

The calculation puts the final energy at -27.8 eV for the cell shown. The symmetry is P4/mmm.

abc: 5.1111 5.1111 4.6950
angles: 90.00 90.00 90.00
Positions (direct):
As (0.0000, 0.0000, 0.0000)
Nb (0.0000, 0.0000, 0.5000)
Sn (0.0000, 0.5000, 0.0000)
Sn (0.5000, 0.0000, 0.0000)
W (0.5000, 0.5000, 0.5000)

***

# 16
BaTlAg2: optimized geometry, GGA-PBE.

The symmetry is Cmcm. The energy above the most stable polymorph in this dataset is 85 meV/atom.

abc: 4.8679 6.6460 8.3698
angles: 90.00 90.00 111.48
Positions (direct):
Ba (0.4290, 0.8572, 0.7500)
Ba (0.5710, 0.1428, 0.2500)
Tl (0.8641, 0.7281, 0.2500)
Tl (0.1359, 0.2719, 0.7500)
Ag (0.2596, 0.5191, 0.4178)
Ag (0.7404, 0.4809, 0.5822)
Ag (0.2596, 0.5191, 0.0822)
Ag (0.7404, 0.4809, 0.9178)

***

# 17
Sc3Zn7Pd2: optimized geometry, GGA-PBE.

The calculation puts the final energy at -43.3 eV for the cell shown. The symmetry is R-3m.

abc: 5.2121 5.2121 9.0689
angles: 73.30 73.30 60.00
Positions (direct):
Sc (0.0000, 0.0000, 0.0000)
Sc (0.8545, 0.8545, 0.4366)
Sc (0.1455, 0.1455, 0.5634)
Zn (0.5000, 0.5000, 0.5000)
Zn (0.9208, 0.4132, 0.2529)
Zn (0.4132, 0.9208, 0.2529)
Zn (0.4132, 0.4132, 0.2529)
Zn (0.0792, 0.5868, 0.7471)
Zn (0.5868, 0.5868, 0.7471)
Zn (0.5868, 0.0792, 0.7471)
Pd (0.6654, 0.6654, 0.0037)
Pd (0.3346, 0.3346, 0.9963)

***

# 18
Ag2PtCl4F2: optimized geometry, GGA-PBE.

The calculation puts the final energy at -29.0 eV for the cell shown. The symmetry is C2/m.

abc: 5.6942 6.8041 6.8041
angles: 64.38 98.07 98.07
Positions (direct):
Ag (0.4816, 0.7001, 0.7001)
Ag (0.5184, 0.2999, 0.2999)
Pt (0.5000, 0.0000, 0.0000)
Cl (0.2953, 0.6512, 0.0976)
Cl (0.7047, 0.9024, 0.3488)
Cl (0.7047, 0.3488, 0.9024)
Cl (0.2953, 0.0976, 0.6512)
F (0.2526, 0.1030, 0.1030)
F (0.7474, 0.8970, 0.8970)

***

# 19
Na2LiHg4: optimized geometry, GGA-PBE.

The symmetry is Cmmm. The energy above the most stable polymorph in this dataset is 53 meV/atom.

abc: 3.5289 3.5644 14.2933
angles: 97.16 90.00 90.00
Positions (direct):
Na (0.5000, 0.1940, 0.3881)
Na (0.5000, 0.8060, 0.6119)
Li (0.0000, 0.5000, 0.0000)
Hg (0.5000, 0.9452, 0.8905)
Hg (0.0000, 0.6259, 0.2518)
Hg (0.5000, 0.0548, 0.1095)
Hg (0.0000, 0.3741, 0.7482)

***

# 20
Na2ZnAg2: optimized geometry, GGA-PBE.

The symmetry is I4/mmm. The energy above the most stable polymorph in this dataset is 327 meV/atom.

abc: 4.1878 4.1878 7.5207
angles: 73.83 73.83 90.00
Positions (direct):
Na (0.7500, 0.2500, 0.5000)
Na (0.2500, 0.7500, 0.5000)
Zn (0.0000, 0.0000, 0.0000)
Ag (0.4044, 0.4044, 0.1913)
Ag (0.5956, 0.5956, 0.8087)

***

# 21
MgGa6Ag12: optimized geometry, GGA-PBE.

The symmetry is R-3. The energy above the most stable polymorph in this dataset is 50 meV/atom.

abc: 7.5153 7.5153 7.5153
angles: 106.92 106.92 106.92
Positions (direct):
Mg (0.0000, 0.0000, 0.0000)
Ga (0.8020, 0.9143, 0.5217)
Ga (0.4783, 0.1980, 0.0857)
Ga (0.0857, 0.4783, 0.1980)
Ga (0.1980, 0.0857, 0.4783)
Ga (0.5217, 0.8020, 0.9143)
Ga (0.9143, 0.5217, 0.8020)
Ag (0.8126, 0.5261, 0.4236)
Ag (0.4236, 0.8126, 0.5261)
Ag (0.5261, 0.4236, 0.8126)
Ag (0.1874, 0.4739, 0.5764)
Ag (0.5764, 0.1874, 0.4739)
Ag (0.4739, 0.5764, 0.1874)
Ag (0.8737, 0.7336, 0.1679)
Ag (0.2664, 0.8321, 0.1263)
Ag (0.8321, 0.1263, 0.2664)
Ag (0.1263, 0.2664, 0.8321)
Ag (0.7336, 0.1679, 0.8737)
Ag (0.1679, 0.8737, 0.7336)

***

# 22
Er4MgAg5: optimized geometry, GGA-PBE.

The calculation puts the final energy at -37.2 eV for the cell shown. The symmetry is P4/mmm.

abc: 3.5362 3.5362 18.0046
angles: 90.00 90.00 90.00
Positions (direct):
Er (0.0000, 0.0000, 0.1918)
Er (0.0000, 0.0000, 0.3972)
Er (0.0000, 0.0000, 0.6028)
Er (0.0000, 0.0000, 0.8082)
Mg (0.0000, 0.0000, 0.0000)
Ag (0.5000, 0.5000, 0.0895)
Ag (0.5000, 0.5000, 0.2942)
Ag (0.5000, 0.5000, 0.5000)
Ag (0.5000, 0.5000, 0.7058)
Ag (0.5000, 0.5000, 0.9105)